Record 1
{"formula": "Ba3MnTl", "functional": "PBE", "state": "relaxed", "cell": [[-2.2438, -3.3178, 4.2077], [1.4036, -4.7664, -3.0098], [5.1713, -0.1459, 2.6427]], "species": ["Ba", "Tl", "Ba", "Ba", "Mn"], "fractional_positions": [[0.0000, 0.0000, 0.5000], [0.5000, 0.5000, 0.5000], [0.0000, 0.5000, 0.0000], [0.5000, 0.0000, 0.0000], [0.0000, 0.0000, 0.0000]], "e_form_ev_per_atom": 0.49, "polymorph_energy_kcal_per_mol_atoms": 0.00}



Record 2
{"formula": "Ba2CrAs2", "functional": "PBE", "state": "relaxed", "cell": [[-2.0602, 2.0602, 9.9815], [2.0602, -2.0602, 9.9815], [2.0602, 2.0602, -9.9815]], "species": ["Cr", "Ba", "As", "As", "Ba"], "fractional_positions": [[0.0000, 0.0000, 0.0000], [0.3799, 0.3799, 0.0000], [0.7500, 0.2500, 0.5000], [0.2500, 0.7500, 0.5000], [0.6201, 0.6201, 0.0000]], "e_form_ev_per_atom": 0.03, "polymorph_energy_kcal_per_mol_atoms": 17.63}



Record 3
{"formula": "MnCuSeS", "functional": "PBE", "state": "relaxed", "cell": [[-0.6908, -1.8413, 3.3805], [3.5395, 1.4977, -0.7239], [-2.4909, 6.1706, 0.5913]], "species": ["Se", "Cu", "S", "Mn"], "fractional_positions": [[0.4599, 0.6141, 0.0741], [0.2119, 0.9902, 0.2022], [0.4546, 0.1113, 0.5659], [0.2025, 0.4851, 0.6877]], "total_energy_ev_per_fu": -22.3}



Record 4
{"formula": "La3GeP2Pt9", "functional": "PBE", "state": "relaxed", "cell": [[-1.0732, -4.0462, -4.9285], [3.8551, -1.7908, 4.8729], [-6.7715, -3.2668, 4.1565]], "species": ["Pt", "Pt", "P", "Pt", "Pt", "La", "Pt", "La", "Pt", "Ge", "P", "Pt", "La", "Pt", "Pt"], "fractional_positions": [[0.8509, 0.1491, 0.7135], [0.1491, 0.8509, 0.2865], [0.6667, 0.3333, 0.8215], [0.5000, 0.0000, 0.0000], [0.7017, 0.8509, 0.2865], [0.0000, 0.0000, 0.0000], [0.0000, 0.5000, 0.0000], [0.6667, 0.3333, 0.3405], [0.5000, 0.5000, 0.0000], [0.0000, 0.0000, 0.5000], [0.3333, 0.6667, 0.1785], [0.8509, 0.7017, 0.7135], [0.3333, 0.6667, 0.6595], [0.1491, 0.2983, 0.2865], [0.2983, 0.1491, 0.7135]], "e_form_ev_per_atom": -0.78}



Record 5
{"formula": "AlCdOs2", "functional": "PBE", "state": "relaxed", "cell": [[4.7028, -0.0081, -0.0078], [3.8477, 2.7039, -0.0078], [1.0563, 0.3330, 4.9708]], "species": ["Os", "Cd", "Al", "Os"], "fractional_positions": [[0.4831, 0.4831, 0.5386], [0.2500, 0.2500, 0.2500], [0.7500, 0.7500, 0.7500], [0.0169, 0.0169, 0.9614]], "e_form_ev_per_atom": 0.26, "polymorph_energy_kcal_per_mol_atoms": 3.83}



Record 6
{"formula": "ScTiBeRe2", "functional": "PBE", "state": "relaxed", "cell": [[4.5807, 0.0000, 0.0000], [0.0000, 4.3530, 0.0000], [0.0000, 0.0000, 4.5807]], "species": ["Re", "Sc", "Be", "Re", "Ti"], "fractional_positions": [[0.0000, 0.0000, 0.5000], [0.5000, 0.5000, 0.5000], [0.0000, 0.5000, 0.0000], [0.5000, 0.0000, 0.0000], [0.0000, 0.0000, 0.0000]], "e_form_ev_per_atom": 1.15}



For each record above, in turn, the calculated magnetization values are 0.00, 5.56, 4.20, 0.00, 0.00, 0.00 μB/f.u..